--- i ---
# RbNa2In2 | Alexandria | PBE-GGA | relaxed
data_RbNa2In2
_chemical_formula_sum 'Rb2 Na4 In4'
_space_group_name_H-M_alt 'P 4/m b m'
_space_group_IT_number 127
_space_group_name_Hall '-P 4 2ab'
_cell_length_a 9.616
_cell_length_b 9.616
_cell_length_c 3.690
_cell_angle_alpha 90.00
_cell_angle_beta 90.00
_cell_angle_gamma 90.00
loop_
_atom_site_label
_atom_site_type_symbol
_atom_site_fract_x
_atom_site_fract_y
_atom_site_fract_z
Rb1 Rb 0.000 0.000 0.000
Na1 Na 0.178 0.322 0.500
In1 In 0.110 0.610 0.000
# Total moment = 0.000 μB per atom
# Volume = 341.18 Å³ per cell

***

--- ii ---
# RbNa2In2 | Alexandria | PBE-GGA | relaxed
data_RbNa2In2
_chemical_formula_sum 'Rb2 Na4 In4'
_space_group_name_H-M_alt 'I 4/m m m'
_space_group_IT_number 139
_space_group_name_Hall '-I 4 2'
_cell_length_a 5.913
_cell_length_b 5.913
_cell_length_c 10.911
_cell_angle_alpha 90.00
_cell_angle_beta 90.00
_cell_angle_gamma 90.00
loop_
_atom_site_label
_atom_site_type_symbol
_atom_site_fract_x
_atom_site_fract_y
_atom_site_fract_z
Rb1 Rb 0.000 0.000 0.000
Na1 Na 0.000 0.500 0.250
In1 In 0.000 0.000 0.369
# Total moment = 0.000 μB per atom
# Volume = 381.47 Å³ per cell

***

Which structure is the most stable? The one labeled i.

***

--- i ---
# Na3InRe | Alexandria | PBE-GGA | relaxed
data_Na3InRe
_chemical_formula_sum 'Na3 In1 Re1'
_space_group_name_H-M_alt 'P m -3 m'
_space_group_IT_number 221
_space_group_name_Hall '-P 4 2 3'
_cell_length_a 5.728
_cell_length_b 5.728
_cell_length_c 5.728
_cell_angle_alpha 90.00
_cell_angle_beta 90.00
_cell_angle_gamma 90.00
loop_
_atom_site_label
_atom_site_type_symbol
_atom_site_fract_x
_atom_site_fract_y
_atom_site_fract_z
Na1 Na 0.000 0.000 0.500
In1 In 0.000 0.000 0.000
Re1 Re 0.500 0.500 0.500
# Total moment = 0.850 μB per atom
# Volume = 187.95 Å³ per cell

***

--- ii ---
# Na3InRe | Alexandria | PBE-GGA | relaxed
data_Na3InRe
_chemical_formula_sum 'Na3 In1 Re1'
_space_group_name_H-M_alt 'P m -3 m'
_space_group_IT_number 221
_space_group_name_Hall '-P 4 2 3'
_cell_length_a 5.755
_cell_length_b 5.755
_cell_length_c 5.755
_cell_angle_alpha 90.00
_cell_angle_beta 90.00
_cell_angle_gamma 90.00
loop_
_atom_site_label
_atom_site_type_symbol
_atom_site_fract_x
_atom_site_fract_y
_atom_site_fract_z
Na1 Na 0.000 0.000 0.500
In1 In 0.500 0.500 0.500
Re1 Re 0.000 0.000 0.000
# Total moment = 0.747 μB per atom
# Volume = 190.58 Å³ per cell

***

Which structure is the most stable? The one labeled ii.

***

--- i ---
# NaInRh3 | Alexandria | PBE-GGA | relaxed
data_NaInRh3
_chemical_formula_sum 'Na1 In1 Rh3'
_space_group_name_H-M_alt 'P m -3 m'
_space_group_IT_number 221
_space_group_name_Hall '-P 4 2 3'
_cell_length_a 4.967
_cell_length_b 4.967
_cell_length_c 4.967
_cell_angle_alpha 90.00
_cell_angle_beta 90.00
_cell_angle_gamma 90.00
loop_
_atom_site_label
_atom_site_type_symbol
_atom_site_fract_x
_atom_site_fract_y
_atom_site_fract_z
Na1 Na 0.000 0.000 0.000
In1 In 0.500 0.500 0.500
Rh1 Rh 0.000 0.500 0.500
# Total moment = 0.319 μB per atom
# Volume = 122.55 Å³ per cell

***

--- ii ---
# NaInRh3 | Alexandria | PBE-GGA | relaxed
data_NaInRh3
_chemical_formula_sum 'Na1 In1 Rh3'
_space_group_name_H-M_alt 'P m -3 m'
_space_group_IT_number 221
_space_group_name_Hall '-P 4 2 3'
_cell_length_a 4.521
_cell_length_b 4.521
_cell_length_c 4.521
_cell_angle_alpha 90.00
_cell_angle_beta 90.00
_cell_angle_gamma 90.00
loop_
_atom_site_label
_atom_site_type_symbol
_atom_site_fract_x
_atom_site_fract_y
_atom_site_fract_z
Na1 Na 0.000 0.000 0.000
In1 In 0.500 0.500 0.500
Rh1 Rh 0.000 0.000 0.500
# Total moment = 0.000 μB per atom
# Volume = 92.42 Å³ per cell

***

Which structure is the most stable? The one labeled i.

***

--- i ---
# NaIn3Rh | Alexandria | PBE-GGA | relaxed
data_NaIn3Rh
_chemical_formula_sum 'Na4 In12 Rh4'
_space_group_name_H-M_alt 'P n m a'
_space_group_IT_number 62
_space_group_name_Hall '-P 2ac 2n'
_cell_length_a 9.226
_cell_length_b 4.381
_cell_length_c 11.841
_cell_angle_alpha 90.00
_cell_angle_beta 90.00
_cell_angle_gamma 90.00
loop_
_atom_site_label
_atom_site_type_symbol
_atom_site_fract_x
_atom_site_fract_y
_atom_site_fract_z
Na1 Na 0.189 0.250 0.003
In1 In 0.057 0.250 0.419
In2 In 0.098 0.750 0.204
In3 In 0.164 0.750 0.783
Rh1 Rh 0.119 0.250 0.646
# Total moment = 0.000 μB per atom
# Volume = 478.59 Å³ per cell

***

--- ii ---
# NaIn3Rh | Alexandria | PBE-GGA | relaxed
data_NaIn3Rh
_chemical_formula_sum 'Na2 In6 Rh2'
_space_group_name_H-M_alt 'P m m n'
_space_group_IT_number 59
_cell_length_a 4.070
_cell_length_b 8.071
_cell_length_c 7.626
_cell_angle_alpha 90.00
_cell_angle_beta 90.00
_cell_angle_gamma 90.00
loop_
_space_group_symop_operation_xyz
'x,y,z'
'-x,-y,-z'
'-x+1/2,-y+1/2,z'
'x+1/2,y+1/2,-z'
'x+1/2,-y,-z'
'-x+1/2,y,z'
'-x,y+1/2,-z'
'x,-y+1/2,z'
loop_
_atom_site_label
_atom_site_type_symbol
_atom_site_fract_x
_atom_site_fract_y
_atom_site_fract_z
Na1 Na 0.250 0.250 0.061
In1 In 0.250 0.550 0.655
In2 In 0.250 0.750 0.261
Rh1 Rh 0.250 0.250 0.469
# Total moment = 0.000 μB per atom
# Volume = 250.52 Å³ per cell

***

--- iii ---
# NaIn3Rh | Alexandria | PBE-GGA | relaxed
data_NaIn3Rh
_chemical_formula_sum 'Na1 In3 Rh1'
_space_group_name_H-M_alt 'P m -3 m'
_space_group_IT_number 221
_space_group_name_Hall '-P 4 2 3'
_cell_length_a 5.210
_cell_length_b 5.210
_cell_length_c 5.210
_cell_angle_alpha 90.00
_cell_angle_beta 90.00
_cell_angle_gamma 90.00
loop_
_atom_site_label
_atom_site_type_symbol
_atom_site_fract_x
_atom_site_fract_y
_atom_site_fract_z
Na1 Na 0.000 0.000 0.000
In1 In 0.000 0.000 0.500
Rh1 Rh 0.500 0.500 0.500
# Total moment = 0.000 μB per atom
# Volume = 141.42 Å³ per cell

***

--- iv ---
# NaIn3Rh | Alexandria | PBE-GGA | relaxed
data_NaIn3Rh
_chemical_formula_sum 'Na1 In3 Rh1'
_space_group_name_H-M_alt 'P m -3 m'
_space_group_IT_number 221
_space_group_name_Hall '-P 4 2 3'
_cell_length_a 5.172
_cell_length_b 5.172
_cell_length_c 5.172
_cell_angle_alpha 90.00
_cell_angle_beta 90.00
_cell_angle_gamma 90.00
loop_
_atom_site_label
_atom_site_type_symbol
_atom_site_fract_x
_atom_site_fract_y
_atom_site_fract_z
Na1 Na 0.000 0.000 0.000
In1 In 0.000 0.500 0.500
Rh1 Rh 0.500 0.500 0.500
# Total moment = 0.000 μB per atom
# Volume = 138.38 Å³ per cell

***

Which structure is the most stable? The one labeled i.

***

--- i ---
# NaIn3Rh2 | Alexandria | PBE-GGA | relaxed
data_NaIn3Rh2
_chemical_formula_sum 'Na4 In12 Rh8'
_space_group_name_H-M_alt 'C m c m'
_space_group_IT_number 63
_space_group_name_Hall '-C 2c 2'
_cell_length_a 10.008
_cell_length_b 8.823
_cell_length_c 5.993
_cell_angle_alpha 90.00
_cell_angle_beta 90.00
_cell_angle_gamma 90.00
loop_
_atom_site_label
_atom_site_type_symbol
_atom_site_fract_x
_atom_site_fract_y
_atom_site_fract_z
Na1 Na 0.000 0.075 0.250
In1 In 0.000 0.458 0.250
In2 In 0.200 0.240 0.750
Rh1 Rh 0.220 0.500 0.000
# Total moment = 0.000 μB per atom
# Volume = 529.21 Å³ per cell

***

--- ii ---
# NaIn3Rh2 | Alexandria | PBE-GGA | relaxed
data_NaIn3Rh2
_chemical_formula_sum 'Na1 In3 Rh2'
_space_group_name_H-M_alt 'P 6/m m m'
_space_group_IT_number 191
_space_group_name_Hall '-P 6 2'
_cell_length_a 6.2739
_cell_length_b 6.2739
_cell_length_c 4.0115
_cell_angle_alpha 90.00
_cell_angle_beta 90.00
_cell_angle_gamma 120.00
loop_
_atom_site_label
_atom_site_type_symbol
_atom_site_fract_x
_atom_site_fract_y
_atom_site_fract_z
Na1 Na 0.0000 0.0000 0.0000
In1 In 0.0000 0.5000 0.5000
Rh1 Rh 0.3333 0.6667 0.0000
# Total moment = 0.000 μB per atom
# Volume = 136.75 Å³ per cell

***

Which structure is the most stable? The one labeled i.

***

--- i ---
# NaIn2Rh2 | Alexandria | PBE-GGA | relaxed
data_NaIn2Rh2
_chemical_formula_sum 'Na2 In4 Rh4'
_space_group_name_H-M_alt 'I 4/m m m'
_space_group_IT_number 139
_space_group_name_Hall '-I 4 2'
_cell_length_a 4.303
_cell_length_b 4.303
_cell_length_c 11.840
_cell_angle_alpha 90.00
_cell_angle_beta 90.00
_cell_angle_gamma 90.00
loop_
_atom_site_label
_atom_site_type_symbol
_atom_site_fract_x
_atom_site_fract_y
_atom_site_fract_z
Na1 Na 0.000 0.000 0.000
In1 In 0.000 0.000 0.379
Rh1 Rh 0.000 0.500 0.250
# Total moment = 0.000 μB per atom
# Volume = 219.23 Å³ per cell

***

--- ii ---
# NaIn2Rh2 | Alexandria | PBE-GGA | relaxed
data_NaIn2Rh2
_chemical_formula_sum 'Na2 In4 Rh4'
_space_group_name_H-M_alt 'P 4/m b m'
_space_group_IT_number 127
_space_group_name_Hall '-P 4 2ab'
_cell_length_a 7.853
_cell_length_b 7.853
_cell_length_c 3.072
_cell_angle_alpha 90.00
_cell_angle_beta 90.00
_cell_angle_gamma 90.00
loop_
_atom_site_label
_atom_site_type_symbol
_atom_site_fract_x
_atom_site_fract_y
_atom_site_fract_z
Na1 Na 0.000 0.000 0.000
In1 In 0.147 0.353 0.000
Rh1 Rh 0.148 0.648 0.500
# Total moment = 0.000 μB per atom
# Volume = 189.44 Å³ per cell

***

Which structure is the most stable? The one labeled ii.